Here is Tb8Sn5Hg after structural relaxation from Alexandria via LeMat-Bulk. Energies are from GGA-PBE.

Computed properties:
total moment: 0.00 μB per atom
energy of formation: -0.6561 eV/atom
energy: -4.753 eV per atom
crystal system: tetragonal

Structure (POSCAR):
```
Tb8Sn5Hg
1.0
-0.936 -5.370 -5.942
7.856 1.188 1.374
-3.528 -2.822 6.679
Tb Sn Hg
8 5 1
direct
0.130 0.752 0.020
0.980 0.110 0.732
0.762 0.245 0.368
0.632 0.394 0.877
0.483 0.606 0.238
0.622 0.890 0.870
0.268 0.248 0.378
0.123 0.755 0.517
0.003 0.376 0.128
0.872 0.875 0.248
0.752 0.624 0.627
0.500 0.000 0.500
0.373 0.125 0.997
0.250 0.500 0.750
```